(1)
Compound: Ca2ZnAs
Source: Alexandria
Functional: PBE
Structure: relaxed

```
4
Lattice="3.871 -2.236 0.000 3.871 2.236 0.000 -2.590 0.000 6.592" Properties=species:S:1:pos:R:3 pbc="T T T"
Ca 1.290 0.000 1.421
Ca 3.861 0.000 5.171
Zn -1.295 0.000 3.296
As 3.871 0.000 0.000
```

Values from the calculation:
- symmetry = C2/m, No. 12
- ΔH_f (0 K) (kJ per mole of atoms) = -59
- magnetization (μB/cell) = 0.0

(2)
Compound: LiYGaRu
Source: Alexandria
Functional: PBE
Structure: relaxed

```
4
Lattice="0.000 3.262 3.262 3.262 0.000 3.262 3.262 3.262 0.000" Properties=species:S:1:pos:R:3 pbc="T T T"
Li 0.000 0.000 0.000
Y 1.631 1.631 1.631
Ga 4.893 4.893 4.893
Ru 3.262 3.262 3.262
```

Values from the calculation:
- symmetry = F-43m, No. 216
- ΔH_f (0 K) (kJ per mole of atoms) = -29
- magnetization (μB/cell) = 0.0

(3)
Compound: Er8TcPt2
Source: Alexandria
Functional: PBE
Structure: relaxed

```
11
Lattice="4.173 -6.368 0.000 4.173 6.368 0.000 -1.817 0.000 5.395" Properties=species:S:1:pos:R:3 pbc="T T T"
Er 0.000 0.000 0.000
Er 0.245 1.577 3.207
Er 2.700 2.752 0.984
Er 0.245 -1.577 3.207
Er 3.251 1.585 4.239
Er 2.700 -2.752 0.984
Er 3.251 -1.585 4.239
Er 5.315 0.000 1.940
Tc 2.856 0.000 0.390
Pt 1.740 3.952 3.651
Pt 1.740 -3.952 3.651
```

Values from the calculation:
- symmetry = Cm, No. 8
- ΔH_f (0 K) (kJ per mole of atoms) = -44
- magnetization (μB/cell) = 0.0

(4)
Compound: ZnCd2Sb2
Source: Alexandria
Functional: PBE
Structure: relaxed

```
10
Lattice="8.942 0.000 0.000 0.000 8.942 0.000 0.000 0.000 3.292" Properties=species:S:1:pos:R:3 pbc="T T T"
Zn 0.000 0.000 0.000
Zn 4.471 4.471 0.000
Cd 1.318 3.153 0.000
Cd 3.153 7.624 0.000
Cd 5.788 1.318 0.000
Cd 7.624 5.788 0.000
Sb 1.349 5.820 1.646
Sb 3.122 1.349 1.646
Sb 5.820 7.592 1.646
Sb 7.592 3.122 1.646
```

Values from the calculation:
- symmetry = P4/mbm, No. 127
- uncorrected formation energy (kJ per mole of atoms) = 23.7
- magnetization (μB/cell) = 0.0

(5)
Compound: UGa2Co2
Source: Alexandria
Functional: PBE
Structure: relaxed

```
10
Lattice="-1.997 1.997 9.879 1.997 -1.997 9.879 1.997 1.997 -9.879" Properties=species:S:1:pos:R:3 pbc="T T T"
U 0.000 0.000 2.567
U 0.000 0.000 17.191
Ga 1.997 0.000 0.000
Ga 0.000 0.000 6.199
Ga 0.000 1.997 0.000
Ga 0.000 0.000 13.559
Co 1.997 0.000 4.940
Co 0.000 0.000 8.520
Co 0.000 0.000 11.238
Co 0.000 1.997 4.940
```

Values from the calculation:
- symmetry = I4/mmm, No. 139
- ΔH_f (0 K) (kJ per mole of atoms) = -18
- magnetization (μB/cell) = 2.7

(6)
Compound: BeFeC3
Source: Alexandria
Functional: PBE
Structure: relaxed

```
5
Lattice="3.455 0.000 0.000 0.000 3.455 0.000 0.000 0.000 3.455" Properties=species:S:1:pos:R:3 pbc="T T T"
Be 0.000 0.000 0.000
Fe 1.728 1.728 1.728
C 0.000 0.000 1.728
C 0.000 1.728 0.000
C 1.728 0.000 0.000
```

Values from the calculation:
- symmetry = Pm-3m, No. 221
- ΔH_f (0 K) (kJ per mole of atoms) = 234
- magnetization (μB/cell) = 0.0

(7)
Compound: K2Ac2PaTe6
Source: Alexandria
Functional: PBE
Structure: relaxed

```
11
Lattice="4.120 -7.031 0.000 4.120 7.031 0.000 -2.787 0.000 8.351" Properties=species:S:1:pos:R:3 pbc="T T T"
K 4.120 4.617 0.000
K 4.120 -4.617 0.000
Ac 2.727 2.338 4.176
Ac 2.727 -2.338 4.176
Pa -1.394 0.000 4.176
Te -0.095 2.201 5.969
Te 1.156 0.000 2.392
Te -0.095 -2.201 5.969
Te 5.549 2.201 2.382
Te 4.297 0.000 5.959
Te 5.549 -2.201 2.382
```

Values from the calculation:
- symmetry = C2/m, No. 12
- uncorrected formation energy (kJ per mole of atoms) = -124.5
- magnetization (μB/cell) = 1.0

(8)
Compound: PmNdYLu
Source: Alexandria
Functional: PBE
Structure: relaxed

```
4
Lattice="0.000 4.047 4.047 4.047 0.000 4.047 4.047 4.047 0.000" Properties=species:S:1:pos:R:3 pbc="T T T"
Pm 0.000 0.000 0.000
Nd 6.071 6.071 6.071
Y 2.024 2.024 2.024
Lu 4.047 4.047 4.047
```

Values from the calculation:
- symmetry = F-43m, No. 216
- ΔH_f (0 K) (kJ per mole of atoms) = 14
- magnetization (μB/cell) = 0.1

(9)
Compound: Pm8AlSe6
Source: Alexandria
Functional: PBE
Structure: relaxed

```
15
Lattice="10.803 0.000 0.000 -5.401 9.356 0.000 0.000 0.000 4.180" Properties=species:S:1:pos:R:3 pbc="T T T"
Pm -1.353 2.990 1.048
Pm -2.135 9.032 1.048
Pm 1.913 2.667 3.132
Pm 0.000 6.237 3.136
Pm 5.401 3.119 1.044
Pm 3.489 6.689 1.048
Pm 7.537 0.323 3.132
Pm 6.755 6.366 3.132
Al 0.000 0.000 2.090
Se -2.086 6.061 1.053
Se 1.196 4.518 1.053
Se 4.511 1.224 3.127
Se 0.891 8.132 1.053
Se 4.206 4.837 3.127
Se 7.488 3.295 3.127
```

Values from the calculation:
- symmetry = P-3, No. 147
- uncorrected formation energy (kJ per mole of atoms) = -127.8
- magnetization (μB/cell) = 0.0

(10)
Compound: YNiAu
Source: Alexandria
Functional: PBE
Structure: relaxed

```
12
Lattice="6.163 0.000 0.000 0.000 5.358 0.000 -2.734 0.000 6.965" Properties=species:S:1:pos:R:3 pbc="T T T"
Y 0.146 0.622 2.609
Y -1.221 2.057 6.091
Y 4.651 3.301 0.874
Y 3.284 4.736 4.356
Ni -0.402 3.323 3.610
Ni 0.965 4.715 0.127
Ni 2.465 0.644 6.837
Ni 3.832 2.035 3.355
Au 1.709 3.181 2.052
Au 0.342 4.857 5.535
Au 3.088 0.502 1.430
Au 1.721 2.178 4.912
```

Values from the calculation:
- symmetry = P2_1/c, No. 14
- ΔH_f (0 K) (kJ per mole of atoms) = -58
- magnetization (μB/cell) = 0.0

(11)
Compound: Pu3InRh3
Source: Alexandria
Functional: PBE
Structure: relaxed

```
14
Lattice="2.272 -4.956 0.000 2.272 4.956 0.000 0.000 0.000 13.299" Properties=species:S:1:pos:R:3 pbc="T T T"
Pu 2.272 4.607 9.974
Pu 2.272 1.917 8.108
Pu 2.272 1.917 11.840
Pu 2.272 -1.917 1.459
Pu 2.272 -1.917 5.190
Pu 2.272 -4.607 3.325
In 0.000 0.000 0.000
In 0.000 0.000 6.649
Rh 2.272 2.641 3.325
Rh 2.272 0.990 1.195
Rh 2.272 0.990 5.455
Rh 2.272 -0.990 7.844
Rh 2.272 -0.990 12.104
Rh 2.272 -2.641 9.974
```

Values from the calculation:
- symmetry = Cmcm, No. 63
- ΔH_f (0 K) (kJ per mole of atoms) = -42
- magnetization (μB/cell) = 32.0

(12)
Compound: Tb4Sm3Tm5
Source: Alexandria
Functional: PBE
Structure: relaxed

```
12
Lattice="7.945 -2.939 0.000 7.945 2.939 0.000 -4.085 0.000 8.297" Properties=species:S:1:pos:R:3 pbc="T T T"
Tb -0.497 0.000 3.675
Tb -0.255 0.000 7.298
Tb 12.059 0.000 0.999
Tb 12.302 0.000 4.622
Sm 2.375 0.000 1.940
Sm 7.945 0.000 0.000
Sm 9.430 0.000 6.357
Tm 0.000 0.000 0.000
Tm 2.704 0.000 5.091
Tm 5.562 0.000 2.513
Tm 6.242 0.000 5.785
Tm 9.100 0.000 3.207
```

Values from the calculation:
- symmetry = C2/m, No. 12
- ΔH_f (0 K) (kJ per mole of atoms) = 23
- magnetization (μB/cell) = 0.3

(13)
Compound: Sr3Li4Pd4
Source: Alexandria
Functional: PBE
Structure: relaxed

```
11
Lattice="-3.932 3.932 3.932 3.932 -3.932 3.932 3.932 3.932 -3.932" Properties=species:S:1:pos:R:3 pbc="T T T"
Sr 3.932 0.000 0.000
Sr 0.000 3.932 0.000
Sr 0.000 0.000 3.932
Li 2.956 2.956 -2.956
Li 2.956 -2.956 2.956
Li 0.976 0.976 0.976
Li -2.956 2.956 2.956
Pd 1.531 1.531 -1.531
Pd 1.531 -1.531 1.531
Pd -1.531 1.531 1.531
Pd 2.402 2.402 2.402
```

Values from the calculation:
- symmetry = I-43m, No. 217
- ΔH_f (0 K) (kJ per mole of atoms) = -36
- magnetization (μB/cell) = 0.0

(14)
Compound: V2BPbS
Source: Alexandria
Functional: PBE
Structure: relaxed

```
5
Lattice="5.360 0.000 0.000 0.000 5.360 0.000 0.000 0.000 5.373" Properties=species:S:1:pos:R:3 pbc="T T T"
V 0.000 2.680 0.000
V 2.680 0.000 0.000
B 0.000 0.000 2.686
Pb 2.680 2.680 0.000
S 2.680 2.680 2.686
```

Values from the calculation:
- symmetry = P4/mmm, No. 123
- uncorrected formation energy (kJ per mole of atoms) = 224.6
- magnetization (μB/cell) = 6.9

(15)
Compound: Na2CuSnCl5
Source: Alexandria
Functional: PBE
Structure: relaxed

```
18
Lattice="2.039 -8.557 0.000 2.039 8.557 0.000 0.000 0.000 13.568" Properties=species:S:1:pos:R:3 pbc="T T T"
Na 2.039 7.296 6.784
Na 2.039 6.964 2.907
Na 2.039 -6.964 9.691
Na 2.039 -7.296 0.000
Cu 2.039 1.220 3.566
Cu 2.039 -1.220 10.350
Sn 2.039 4.832 12.236
Sn 2.039 -4.832 5.452
Cl 2.039 7.926 11.408
Cl 2.039 4.493 7.247
Cl 2.039 3.568 3.446
Cl 2.039 2.273 11.595
Cl 2.039 0.050 8.330
Cl 2.039 -0.050 1.546
Cl 2.039 -2.273 4.811
Cl 2.039 -3.568 10.230
Cl 2.039 -4.493 0.463
Cl 2.039 -7.926 4.624
```

Values from the calculation:
- symmetry = Cmc2_1, No. 36
- uncorrected formation energy (kJ per mole of atoms) = -114.9
- magnetization (μB/cell) = 0.1

(16)
Compound: La3Si2SbPt9
Source: Alexandria
Functional: PBE
Structure: relaxed

```
15
Lattice="6.535 0.000 0.000 -3.268 5.660 0.000 0.000 0.000 9.068" Properties=species:S:1:pos:R:3 pbc="T T T"
La 0.000 0.000 0.000
La 0.000 3.773 6.503
La 3.268 1.887 2.565
Si 0.000 3.773 1.593
Si 3.268 1.887 7.475
Sb 0.000 0.000 4.534
Pt -1.634 2.830 0.000
Pt 0.000 1.654 2.465
Pt -1.835 4.833 2.465
Pt 1.433 0.827 6.603
Pt 3.268 0.000 0.000
Pt 1.634 2.830 0.000
Pt 1.835 4.833 2.465
Pt 5.103 0.827 6.603
Pt 3.268 4.005 6.603
```

Values from the calculation:
- symmetry = P-3m1, No. 164
- uncorrected formation energy (kJ per mole of atoms) = -74.5
- magnetization (μB/cell) = 0.0

(17)
Compound: Mg2TaSi
Source: Alexandria
Functional: PBE
Structure: relaxed

```
4
Lattice="2.824 0.000 0.000 0.000 5.135 0.000 -0.427 0.000 4.907" Properties=species:S:1:pos:R:3 pbc="T T T"
Mg 0.494 0.000 1.223
Mg 1.903 0.000 3.684
Ta 1.412 2.568 0.000
Si -0.213 2.568 2.453
```

Values from the calculation:
- symmetry = P2/m, No. 10
- uncorrected formation energy (kJ per mole of atoms) = 16.5
- magnetization (μB/cell) = 0.0

(18)
Compound: Cs2PtAuN
Source: Alexandria
Functional: PBE
Structure: relaxed

```
5
Lattice="6.642 0.000 0.000 0.000 6.642 0.000 0.000 0.000 3.733" Properties=species:S:1:pos:R:3 pbc="T T T"
Cs 0.000 3.321 0.000
Cs 3.321 0.000 0.000
Pt 0.000 0.000 1.867
Au 3.321 3.321 1.867
N 0.000 0.000 0.000
```

Values from the calculation:
- symmetry = P4/mmm, No. 123
- uncorrected formation energy (kJ per mole of atoms) = -16.7
- magnetization (μB/cell) = 0.0

(19)
Compound: NaMnGeS4
Source: Alexandria
Functional: PBE
Structure: relaxed

```
14
Lattice="3.892 -5.813 0.000 3.892 5.813 0.000 0.000 0.000 7.366" Properties=species:S:1:pos:R:3 pbc="T T T"
Na 0.000 0.000 0.000
Na 0.000 0.000 3.683
Mn 3.892 1.521 5.524
Mn 3.892 -1.521 1.841
Ge 3.892 1.621 1.841
Ge 3.892 -1.621 5.524
S 3.892 2.905 0.010
S 3.892 2.905 3.673
S 2.247 0.080 1.841
S 2.247 -0.080 5.524
S 5.538 0.080 1.841
S 5.538 -0.080 5.524
S 3.892 -2.905 3.693
S 3.892 -2.905 7.356
```

Values from the calculation:
- symmetry = Cmcm, No. 63
- uncorrected formation energy (kJ per mole of atoms) = -50.4
- magnetization (μB/cell) = 8.0

(20)
Compound: Ta2Nb15Ru2
Source: Alexandria
Functional: PBE
Structure: relaxed

```
19
Lattice="4.559 2.632 4.983 -4.559 2.632 4.983 0.000 -5.264 4.983" Properties=species:S:1:pos:R:3 pbc="T T T"
Ta 0.000 0.000 2.712
Ta 0.000 0.000 12.238
Nb -2.279 -1.316 4.983
Nb 0.000 -2.681 4.807
Nb -2.322 1.341 4.807
Nb -1.462 -2.532 7.475
Nb -2.924 0.000 7.475
Nb -2.322 -1.341 10.143
Nb -2.279 1.316 9.967
Nb 1.462 -2.532 7.475
Nb 0.000 2.632 4.983
Nb -1.462 2.532 7.475
Nb 2.322 1.341 4.807
Nb 2.924 0.000 7.475
Nb 1.462 2.532 7.475
Nb 2.322 -1.341 10.143
Nb 0.000 2.681 10.143
Ru 0.000 0.000 6.202
Ru 0.000 0.000 8.749
```

Values from the calculation:
- symmetry = R-3m, No. 166
- ΔH_f (0 K) (kJ per mole of atoms) = 33
- magnetization (μB/cell) = 0.0

(21)
Compound: Er2PuHg
Source: Alexandria
Functional: PBE
Structure: relaxed

```
4
Lattice="1.758 1.015 10.459 -1.758 1.015 10.459 0.000 -2.030 10.459" Properties=species:S:1:pos:R:3 pbc="T T T"
Er 0.000 0.000 7.661
Er 0.000 0.000 23.716
Pu 0.000 0.000 0.000
Hg 0.000 0.000 15.688
```

Values from the calculation:
- symmetry = R-3m, No. 166
- ΔH_f (0 K) (kJ per mole of atoms) = -8
- magnetization (μB/cell) = 6.2

(22)
Compound: Sm6ZnRh2I3
Source: Alexandria
Functional: PBE
Structure: relaxed

```
12
Lattice="3.633 -6.284 0.000 3.633 6.284 0.000 -2.423 0.000 8.020" Properties=species:S:1:pos:R:3 pbc="T T T"
Sm -0.062 2.199 6.502
Sm 1.089 0.000 1.507
Sm -0.062 -2.199 6.502
Sm 4.905 2.199 1.518
Sm 3.753 0.000 6.513
Sm 4.905 -2.199 1.518
Zn 3.633 0.000 0.000
Rh 3.633 4.184 0.000
Rh 3.633 -4.184 0.000
I -1.211 0.000 4.010
I 2.421 2.059 4.010
I 2.421 -2.059 4.010
```

Values from the calculation:
- symmetry = C2/m, No. 12
- uncorrected formation energy (kJ per mole of atoms) = -76.9
- magnetization (μB/cell) = 0.0

(23)
Compound: CsGaN2O
Source: Alexandria
Functional: PBE
Structure: relaxed

```
5
Lattice="4.453 0.000 0.000 0.000 4.453 0.000 0.000 0.000 4.450" Properties=species:S:1:pos:R:3 pbc="T T T"
Cs 0.000 0.000 0.000
Ga 2.227 2.227 2.225
N 0.000 2.227 0.000
N 2.227 0.000 0.000
O 0.000 0.000 2.225
```

Values from the calculation:
- symmetry = P4/mmm, No. 123
- uncorrected formation energy (kJ per mole of atoms) = 208.9
- magnetization (μB/cell) = 0.7